[1]
First-principles (PBE) data for an optimized crystal structure of SrZrTc2, as listed in Alexandria via LeMat-Bulk.

```
SrZrTc2
1.0
3.541 0.000 0.000
0.000 3.541 0.000
0.000 0.000 7.235
Sr Zr Tc
1 1 2
direct
0.000 0.000 0.000 Sr
0.000 0.000 0.500 Zr
0.500 0.500 0.327 Tc
0.500 0.500 0.673 Tc
```

* calculated total energy: -29.5 eV for the cell shown
* calculated volume: 22.7 Å³/atom
* ΔE to the lowest computed polymorph: 6.4 kJ/mol of atoms
* SG: P4/mmm
* formation energy: 0.37 eV/atom

[2]
First-principles (PBE) data for an optimized crystal structure of SrZrTc, as listed in Alexandria via LeMat-Bulk.

```
SrZrTc
1.0
3.476 0.000 0.000
0.000 3.476 0.000
0.000 0.000 12.623
Sr Zr Tc
2 2 2
direct
0.000 0.000 0.000 Sr
0.500 0.500 0.500 Sr
0.000 0.000 0.732 Zr
0.500 0.500 0.232 Zr
0.000 0.000 0.325 Tc
0.500 0.500 0.825 Tc
```

* calculated total energy: -39.8 eV for the cell shown
* calculated volume: 25.4 Å³/atom
* ΔE to the lowest computed polymorph: 0.0 kJ/mol of atoms
* SG: I4mm
* formation energy: 0.24 eV/atom